# RbHg2N2

A geometry-optimized RbHg2N2 structure (PBE, the Alexandria database).

Unit cell a=3.950 b=7.272 c=6.991 alpha=127.35 beta=73.59 gamma=74.24
Each line ends with the local moment (μB).
Fractional positions:
Rb: 0.000 0.000 0.000  0.00
Hg: 0.515 0.287 0.684  0.02
Hg: 0.485 0.713 0.316  0.02
N: 0.117 0.228 0.538  0.35
N: 0.883 0.772 0.462  0.35

## Properties
DOS at the Fermi energy, states/eV/atom: 0.128
Energy relative to the elements, uncorrected, eV per atom: 0.96
Total magnetic moment, μB per atom: 0.200


# Sc5BeGa4

A geometry-optimized Sc5BeGa4 structure (PBE, the Alexandria database).

Unit cell a=3.234 b=3.234 c=17.438 alpha=90.00 beta=90.00 gamma=90.00
Fractional positions:
Sc: 0.500 0.500 0.087
Sc: 0.500 0.500 0.292
Sc: 0.500 0.500 0.500
Sc: 0.500 0.500 0.708
Sc: 0.500 0.500 0.913
Be: 0.000 0.000 0.000
Ga: 0.000 0.000 0.187
Ga: 0.000 0.000 0.396
Ga: 0.000 0.000 0.604
Ga: 0.000 0.000 0.813

## Properties
Energy of formation, eV per formula unit: -4.99
DOS at the Fermi energy, states/eV/atom: 0.496
Total magnetic moment, μB per atom: 0.000


# Sr3Sn2GeAu6

A geometry-optimized Sr3Sn2GeAu6 structure (PBE, the Alexandria database).

Unit cell a=6.501 b=6.501 c=8.713 alpha=90.00 beta=90.00 gamma=120.00
Fractional positions:
Sr: 0.333 0.667 0.648
Sr: 0.667 0.333 0.352
Sr: 0.000 0.000 0.000
Sn: 0.667 0.333 0.936
Sn: 0.333 0.667 0.064
Ge: 0.000 0.000 0.500
Au: 0.653 0.827 0.304
Au: 0.173 0.347 0.304
Au: 0.173 0.827 0.304
Au: 0.827 0.653 0.696
Au: 0.347 0.173 0.696
Au: 0.827 0.173 0.696

## Properties
Energy of formation, eV per formula unit: -6.17
DOS at the Fermi energy, states/eV/atom: 0.516
Total magnetic moment, μB per atom: 0.000


# TiAuO3

A geometry-optimized TiAuO3 structure (PBE, the Alexandria database).

Unit cell a=4.023 b=4.023 c=4.023 alpha=90.00 beta=90.00 gamma=90.00
Each line ends with the local moment (μB).
Fractional positions:
Au: 0.000 0.000 0.000  0.03
O: 0.000 0.500 0.000  0.06
O: 0.000 0.000 0.500  0.04
O: 0.500 0.000 0.000  0.04
Ti: 0.500 0.500 0.500  -1.46

## Properties
DOS at the Fermi energy, states/eV/atom: 0.953
Energy relative to the elements, uncorrected, eV per atom: -0.02
Total magnetic moment, μB per atom: 0.289


# LiAcInPt

A geometry-optimized LiAcInPt structure (PBE, the Alexandria database).

Unit cell a=5.075 b=5.075 c=5.075 alpha=60.00 beta=60.00 gamma=60.00
Fractional positions:
Ac: 0.000 0.000 0.000
Li: 0.250 0.250 0.250
Pt: 0.750 0.750 0.750
In: 0.500 0.500 0.500

## Properties
Energy of formation, eV per formula unit: -2.31
DOS at the Fermi energy, states/eV/atom: 1.468
Total magnetic moment, μB per atom: 0.000


# RbIr2F11

A geometry-optimized RbIr2F11 structure (PBE, the Alexandria database).

Unit cell a=9.827 b=8.924 c=8.924 alpha=65.34 beta=56.59 gamma=56.59
Each line ends with the local moment (μB).
Fractional positions:
Rb: 0.750 0.750 0.750  0.00
Rb: 0.250 0.250 0.250  0.00
Ir: 0.651 0.640 0.360  1.24
Ir: 0.349 0.360 0.640  1.24
Ir: 0.849 0.140 0.860  1.24
Ir: 0.151 0.860 0.140  1.24
F: 0.625 0.655 0.582  0.12
F: 0.375 0.345 0.418  0.12
F: 0.138 0.582 0.655  0.12
F: 0.875 0.918 0.845  0.12
F: 0.862 0.418 0.345  0.12
F: 0.125 0.082 0.155  0.12
F: 0.362 0.845 0.918  0.12
F: 0.638 0.155 0.082  0.12
F: 0.500 0.500 0.500  0.11
F: 0.000 0.000 0.000  0.11
F: 0.795 0.769 0.231  0.09
F: 0.205 0.231 0.769  0.09
F: 0.705 0.269 0.731  0.09
F: 0.295 0.731 0.269  0.09
F: 0.442 0.863 0.375  0.13
F: 0.558 0.137 0.625  0.13
F: 0.321 0.375 0.863  0.13
F: 0.058 0.125 0.637  0.13
F: 0.679 0.625 0.137  0.13
F: 0.942 0.875 0.363  0.13
F: 0.179 0.637 0.125  0.13
F: 0.821 0.363 0.875  0.13

## Properties
DOS at the Fermi energy, states/eV/atom: 0.389
Energy relative to the elements, uncorrected, eV per atom: -1.72
Total magnetic moment, μB per atom: 0.286


Which of these has the lowest DOS at the Fermi energy?
RbHg2N2


Please write out number 6 again, unchanged.
# RbIr2F11

A geometry-optimized RbIr2F11 structure (PBE, the Alexandria database).

Unit cell a=9.827 b=8.924 c=8.924 alpha=65.34 beta=56.59 gamma=56.59
Each line ends with the local moment (μB).
Fractional positions:
Rb: 0.750 0.750 0.750  0.00
Rb: 0.250 0.250 0.250  0.00
Ir: 0.651 0.640 0.360  1.24
Ir: 0.349 0.360 0.640  1.24
Ir: 0.849 0.140 0.860  1.24
Ir: 0.151 0.860 0.140  1.24
F: 0.625 0.655 0.582  0.12
F: 0.375 0.345 0.418  0.12
F: 0.138 0.582 0.655  0.12
F: 0.875 0.918 0.845  0.12
F: 0.862 0.418 0.345  0.12
F: 0.125 0.082 0.155  0.12
F: 0.362 0.845 0.918  0.12
F: 0.638 0.155 0.082  0.12
F: 0.500 0.500 0.500  0.11
F: 0.000 0.000 0.000  0.11
F: 0.795 0.769 0.231  0.09
F: 0.205 0.231 0.769  0.09
F: 0.705 0.269 0.731  0.09
F: 0.295 0.731 0.269  0.09
F: 0.442 0.863 0.375  0.13
F: 0.558 0.137 0.625  0.13
F: 0.321 0.375 0.863  0.13
F: 0.058 0.125 0.637  0.13
F: 0.679 0.625 0.137  0.13
F: 0.942 0.875 0.363  0.13
F: 0.179 0.637 0.125  0.13
F: 0.821 0.363 0.875  0.13

## Properties
DOS at the Fermi energy, states/eV/atom: 0.389
Energy relative to the elements, uncorrected, eV per atom: -1.72
Total magnetic moment, μB per atom: 0.286